(1)
DFT (PBEsol) results for a relaxed TaSiW2 crystal.

Results
* E_form (uncorrected): 37 meV per atom

abc: 2.765 5.097 5.184
angles: 116.95 101.30 98.28
Sites, in units of the cell vectors:
Si 0.000 0.500 0.000
Ta 0.500 0.000 0.000
W 0.500 0.500 0.500
W 0.000 0.000 0.500

(2)
DFT (PBEsol) results for a relaxed Ta2SiW crystal.

Results
* E_form (uncorrected): -157 meV per atom

abc: 3.491 4.262 4.262
angles: 90.00 90.00 90.00
Sites, in units of the cell vectors:
Si 0.500 0.000 0.000
Ta 0.000 0.000 0.500
Ta 0.000 0.500 0.000
W 0.500 0.500 0.500

(3)
DFT (PBEsol) results for a relaxed TaSi2W crystal.

Results
* E_form (uncorrected): -59 meV per atom

abc: 4.271 4.271 4.271
angles: 81.69 64.68 115.32
Sites, in units of the cell vectors:
Si 0.500 0.750 0.750
Si 0.500 0.250 0.250
Ta 0.000 0.500 0.500
W 0.000 0.000 0.000

(4)
DFT (PBEsol) results for a relaxed Ta2SiW crystal.

Results
* E_form (uncorrected): -178 meV per atom

abc: 3.319 3.319 5.788
angles: 90.00 90.00 90.00
Sites, in units of the cell vectors:
Si 0.500 0.500 0.743
Ta 0.000 0.000 0.982
Ta 0.500 0.500 0.255
W 0.000 0.000 0.519

(5)
DFT (PBEsol) results for a relaxed TaSiW2 crystal.

Results
* E_form (uncorrected): -74 meV per atom

abc: 3.254 4.375 5.094
angles: 115.43 108.62 90.00
Sites, in units of the cell vectors:
Si 0.494 0.994 0.988
Ta 0.253 0.253 0.505
W 0.005 0.505 0.010
W 0.749 0.749 0.497

(6)
DFT (PBEsol) results for a relaxed Ta2Si2W crystal.

Results
* E_form (uncorrected): -473 meV per atom

abc: 3.517 6.530 6.530
angles: 90.00 90.00 90.00
Sites, in units of the cell vectors:
Si 0.000 0.369 0.869
Si 0.000 0.869 0.631
Si 0.000 0.631 0.131
Si 0.000 0.131 0.369
W 0.000 0.000 0.000
W 0.000 0.500 0.500
Ta 0.500 0.168 0.668
Ta 0.500 0.668 0.832
Ta 0.500 0.832 0.332
Ta 0.500 0.332 0.168

(7)
DFT (PBEsol) results for a relaxed TaSiW2 crystal.

Results
* E_form (uncorrected): 154 meV per atom

abc: 2.755 2.755 8.130
angles: 90.00 90.00 90.00
Sites, in units of the cell vectors:
Si 0.000 0.000 0.493
Ta 0.500 0.500 0.727
W 0.000 0.000 0.007
W 0.500 0.500 0.273

(8)
DFT (PBEsol) results for a relaxed Ta2SiW crystal.

Results
* E_form (uncorrected): 65 meV per atom

abc: 2.768 2.768 8.345
angles: 90.00 90.00 90.00
Sites, in units of the cell vectors:
Si 0.500 0.500 0.745
Ta 0.000 0.000 0.973
Ta 0.500 0.500 0.256
W 0.000 0.000 0.526

(9)
DFT (PBEsol) results for a relaxed YTa2Si crystal.

Results
* E_form (uncorrected): 251 meV per atom

abc: 3.011 3.011 9.735
angles: 81.10 81.10 60.00
Sites, in units of the cell vectors:
Si 0.000 0.000 0.000
Ta 0.260 0.260 0.219
Ta 0.740 0.740 0.781
Y 0.500 0.500 0.500

(10)
DFT (PBEsol) results for a relaxed YTaSi2 crystal.

Results
* E_form (uncorrected): -205 meV per atom

abc: 3.882 3.976 4.548
angles: 90.00 90.00 90.00
Sites, in units of the cell vectors:
Si 0.000 0.000 0.000
Si 0.000 0.500 0.500
Ta 0.500 0.500 0.000
Y 0.500 0.000 0.500

(11)
DFT (PBEsol) results for a relaxed YTa2Si crystal.

Results
* E_form (uncorrected): 152 meV per atom

abc: 3.022 5.091 5.645
angles: 115.69 103.78 93.74
Sites, in units of the cell vectors:
Si 0.000 0.500 0.000
Ta 0.000 0.000 0.500
Ta 0.500 0.500 0.500
Y 0.500 0.000 0.000

(12)
DFT (PBEsol) results for a relaxed YTaSi2 crystal.

Results
* E_form (uncorrected): -285 meV per atom

abc: 3.919 4.892 4.892
angles: 59.05 66.38 66.38
Sites, in units of the cell vectors:
Si 0.240 0.760 0.760
Si 0.760 0.240 0.240
Ta 0.500 0.000 0.000
Y 0.000 0.500 0.500

| no. | density (Mg/m³) | final energy (eV per atom) |
| --- | --- | --- |
| 1 | 15.554 | -11.44 |
| 2 | 15.027 | -11.32 |
| 3 | 11.987 | -9.52 |
| 4 | 14.942 | -11.34 |
| 5 | 15.636 | -11.55 |
| 6 | 13.331 | -10.55 |
| 7 | 15.525 | -11.32 |
| 8 | 14.903 | -11.10 |
| 9 | 10.574 | -9.17 |
| 10 | 7.711 | -7.92 |
| 11 | 10.663 | -9.27 |
| 12 | 7.582 | -8.00 |